No. 1
A plane-wave DFT calculation with PBE was carried out for crystalline TlCuTe2 at its relaxed geometry.

## Properties
- SG: Cmcm (63)
- Formation energy without anion corrections: -0.02 eV/atom
- DFT total energy: -0.1177 hartree per atom
- Crystal system: orthorhombic

Lattice parameters (Å, degrees): 13.0960 13.0960 5.3269 90.00 90.00 164.40
Sites, in units of the cell vectors:
Te 0.0378 0.9622 0.7500
Te 0.9622 0.0378 0.2500
Te 0.1568 0.8432 0.2500
Te 0.8432 0.1568 0.7500
Cu 0.0597 0.9403 0.2500
Cu 0.9403 0.0597 0.7500
Tl 0.2985 0.7015 0.2500
Tl 0.7015 0.2985 0.7500

---

No. 2
A plane-wave DFT calculation with PBE was carried out for crystalline RbOsPb2O6 at its relaxed geometry.

## Properties
- SG: P2_1/c (14)
- Formation energy without anion corrections: -1.19 eV/atom
- DFT total energy: -0.2251 hartree per atom
- Crystal system: monoclinic

Lattice parameters (Å, degrees): 5.8110 6.7699 8.5528 90.00 89.91 90.00
Each line ends with the local moment (μB).
Sites, in units of the cell vectors:
Pb 0.0002 0.9971 0.2836  0.02
Pb 0.5002 0.5029 0.7836  0.02
Pb 0.4998 0.4971 0.2164  0.02
Pb 0.9998 0.0029 0.7164  0.02
O 0.2045 0.1410 0.4987  0.04
O 0.2955 0.6410 0.0013  0.04
O 0.1281 0.3306 0.1548  0.01
O 0.7955 0.8590 0.5013  0.04
O 0.3719 0.8306 0.3452  0.01
O 0.6281 0.1694 0.6548  0.01
O 0.8732 0.6619 0.1609  0.01
O 0.1268 0.3381 0.8391  0.01
O 0.6268 0.1619 0.3391  0.01
O 0.3732 0.8381 0.6609  0.01
O 0.7045 0.3590 0.9987  0.04
O 0.8719 0.6694 0.8452  0.01
Os 0.5000 0.0000 0.5000  0.64
Os 0.0000 0.5000 0.0000  0.64
Rb 0.5000 0.0000 0.0000  0.00
Rb 0.0000 0.5000 0.5000  0.00

---

No. 3
A plane-wave DFT calculation with PBE was carried out for crystalline MoAs2Se at its relaxed geometry.

## Properties
- SG: R-3m (166)
- Formation energy without anion corrections: 0.10 eV/atom
- DFT total energy: -0.2134 hartree per atom
- Crystal system: trigonal

Lattice parameters (Å, degrees): 8.3566 8.3566 8.3566 22.34 22.34 22.34
Sites, in units of the cell vectors:
As 0.5108 0.5108 0.5108
As 0.9892 0.9892 0.9892
Mo 0.2500 0.2500 0.2500
Se 0.7500 0.7500 0.7500

---

Question: What is the formation energy without anion corrections in the third record?
Answer: 0.10 eV/atom

---

Question: What is the formula in the third record?
Answer: MoAs2Se

---

Question: Which value of formation energy without anion corrections does entry 3 give?
Answer: 0.10 eV/atom